! TaSiTc3 | Alexandria | PBE-GGA | optimized geometry; values from VASP
! Calculated volume (Å³ per atom): 16.6
! Size of the total moment (μB per formula unit): 0.0
! Space-group type: Pm-3m (221)
! Uncorrected formation energy (kJ/mol of atoms): 51
&SYSTEM
  ibrav = 0, nat = 5, ntyp = 3
/
ATOMIC_SPECIES
Ta 180.95 Ta.upf
Si 28.09 Si.upf
Tc 98.00 Tc.upf
ATOMIC_POSITIONS crystal
Ta 0.000 0.000 0.000
Si 0.500 0.500 0.500
Tc 0.000 0.500 0.500
Tc 0.500 0.000 0.500
Tc 0.500 0.500 0.000
CELL_PARAMETERS angstrom
4.365 0.000 0.000
0.000 4.365 0.000
0.000 0.000 4.365

***

! AcPm2Pr5Er | Alexandria | PBE-GGA | optimized geometry; values from VASP
! Calculated volume (Å³ per atom): 36.6
! Size of the total moment (μB per formula unit): 0.0
! DFT formation energy (eV/atom): 0.26
! Space-group type: I4/mcm (140)
&SYSTEM
  ibrav = 0, nat = 18, ntyp = 4
/
ATOMIC_SPECIES
Ac 227.00 Ac.upf
Pm 145.00 Pm.upf
Pr 140.91 Pr.upf
Er 167.26 Er.upf
ATOMIC_POSITIONS crystal
Ac 0.250 0.250 0.000
Ac 0.750 0.750 0.000
Pm 0.115 0.615 0.731
Pm 0.385 0.115 0.500
Pm 0.615 0.885 0.500
Pm 0.885 0.385 0.269
Pr 0.000 0.000 0.000
Pr 0.071 0.162 0.500
Pr 0.162 0.662 0.091
Pr 0.338 0.429 0.500
Pr 0.429 0.929 0.091
Pr 0.500 0.500 0.000
Pr 0.571 0.071 0.909
Pr 0.662 0.571 0.500
Pr 0.838 0.338 0.909
Pr 0.929 0.838 0.500
Er 0.250 0.750 0.500
Er 0.750 0.250 0.500
CELL_PARAMETERS angstrom
-4.562 4.562 7.919
4.562 -4.562 7.919
4.562 4.562 -7.919

***

! RbHfGeO2 | Alexandria | PBE-GGA | optimized geometry; values from VASP
! Calculated volume (Å³ per atom): 20.1
! Size of the total moment (μB per formula unit): 0.0
! Space-group type: P4/mmm (123)
! Uncorrected formation energy (kJ/mol of atoms): 91
&SYSTEM
  ibrav = 0, nat = 5, ntyp = 4
/
ATOMIC_SPECIES
Rb 85.47 Rb.upf
Hf 178.49 Hf.upf
Ge 72.64 Ge.upf
O 16.00 O.upf
ATOMIC_POSITIONS crystal
Rb 0.000 0.000 0.000
Hf 0.500 0.500 0.500
Ge 0.000 0.000 0.500
O 0.000 0.500 0.000
O 0.500 0.000 0.000
CELL_PARAMETERS angstrom
4.179 0.000 0.000
0.000 4.179 0.000
0.000 0.000 5.741

***

! HfHg2Ru | Alexandria | PBE-GGA | optimized geometry; values from VASP
! Calculated volume (Å³ per atom): 18.7
! Size of the total moment (μB per formula unit): 0.0
! DFT formation energy (eV/atom): 0.20
! Space-group type: Fm-3m (225)
&SYSTEM
  ibrav = 0, nat = 4, ntyp = 3
/
ATOMIC_SPECIES
Hf 178.49 Hf.upf
Hg 200.59 Hg.upf
Ru 101.07 Ru.upf
ATOMIC_POSITIONS crystal
Hf 0.000 0.000 0.000
Hg 0.250 0.250 0.250
Hg 0.750 0.750 0.750
Ru 0.500 0.500 0.500
CELL_PARAMETERS angstrom
0.000 3.347 3.347
3.347 0.000 3.347
3.347 3.347 0.000

***

! Np2BiN | Alexandria | PBE-GGA | optimized geometry; values from VASP
! Calculated volume (Å³ per atom): 23.3
! Size of the total moment (μB per formula unit): 8.0
! Space-group type: C2/m (12)
! Uncorrected formation energy (kJ/mol of atoms): -51
&SYSTEM
  ibrav = 0, nat = 8, ntyp = 3
/
ATOMIC_SPECIES
Np 237.00 Np.upf
Bi 208.98 Bi.upf
N 14.01 N.upf
ATOMIC_POSITIONS crystal
Np 0.249 0.249 0.671
Np 0.250 0.750 0.000
Np 0.750 0.250 0.000
Np 0.751 0.751 0.329
Bi 0.250 0.250 0.300
Bi 0.750 0.750 0.700
N 0.250 0.250 0.911
N 0.750 0.750 0.089
CELL_PARAMETERS angstrom
3.232 -3.232 0.000
3.232 3.232 0.000
-0.013 0.000 8.922

***

! CrNi2Pb | Alexandria | PBE-GGA | optimized geometry; values from VASP
! Calculated volume (Å³ per atom): 14.9
! Size of the total moment (μB per formula unit): 3.3
! DFT formation energy (eV/atom): 0.38
! Space-group type: F-43m (216)
&SYSTEM
  ibrav = 0, nat = 4, ntyp = 3
/
ATOMIC_SPECIES
Cr 52.00 Cr.upf
Ni 58.69 Ni.upf
Pb 207.20 Pb.upf
ATOMIC_POSITIONS crystal
Cr 0.000 0.000 0.000
Ni 0.500 0.500 0.500
Ni 0.750 0.750 0.750
Pb 0.250 0.250 0.250
CELL_PARAMETERS angstrom
0.000 3.097 3.097
3.097 0.000 3.097
3.097 3.097 0.000

***

! CsKCa2Au | Alexandria | PBE-GGA | optimized geometry; values from VASP
! Calculated volume (Å³ per atom): 48.5
! Size of the total moment (μB per formula unit): 0.0
! DFT formation energy (eV/atom): -0.16
! Space-group type: P4/mmm (123)
&SYSTEM
  ibrav = 0, nat = 5, ntyp = 4
/
ATOMIC_SPECIES
Cs 132.91 Cs.upf
K 39.10 K.upf
Ca 40.08 Ca.upf
Au 196.97 Au.upf
ATOMIC_POSITIONS crystal
Cs 0.000 0.000 0.000
K 0.500 0.500 0.000
Ca 0.000 0.500 0.500
Ca 0.500 0.000 0.500
Au 0.500 0.500 0.500
CELL_PARAMETERS angstrom
5.949 0.000 0.000
0.000 5.949 0.000
0.000 0.000 6.847

***

! Pu3GaRu4 | Alexandria | PBE-GGA | optimized geometry; values from VASP
! Calculated volume (Å³ per atom): 17.9
! Size of the total moment (μB per formula unit): 5.0
! DFT formation energy (eV/atom): -0.12
! Space-group type: I4/mmm (139)
&SYSTEM
  ibrav = 0, nat = 8, ntyp = 3
/
ATOMIC_SPECIES
Pu 244.00 Pu.upf
Ga 69.72 Ga.upf
Ru 101.07 Ru.upf
ATOMIC_POSITIONS crystal
Pu 0.000 0.000 0.000
Pu 0.259 0.259 0.000
Pu 0.741 0.741 0.000
Ga 0.500 0.500 0.000
Ru 0.115 0.615 0.500
Ru 0.385 0.885 0.500
Ru 0.615 0.115 0.500
Ru 0.885 0.385 0.500
CELL_PARAMETERS angstrom
-2.271 2.271 6.933
2.271 -2.271 6.933
2.271 2.271 -6.933

***

! Sr3Mn | Alexandria | PBE-GGA | optimized geometry; values from VASP
! Calculated volume (Å³ per atom): 43.8
! Size of the total moment (μB per formula unit): 3.6
! DFT formation energy (eV/atom): 0.42
! Space-group type: R-3m (166)
&SYSTEM
  ibrav = 0, nat = 4, ntyp = 2
/
ATOMIC_SPECIES
Sr 87.62 Sr.upf
Mn 54.94 Mn.upf
ATOMIC_POSITIONS crystal
Sr 0.000 0.000 0.000
Sr 0.229 0.229 0.229
Sr 0.771 0.771 0.771
Mn 0.500 0.500 0.500
CELL_PARAMETERS angstrom
2.084 1.203 11.650
-2.084 1.203 11.650
0.000 -2.406 11.650

***

! TcPBr2 | Alexandria | PBE-GGA | optimized geometry; values from VASP
! Calculated volume (Å³ per atom): 20.9
! Size of the total moment (μB per formula unit): 3.1
! Space-group type: Pmmm (47)
! Uncorrected formation energy (kJ/mol of atoms): 92
&SYSTEM
  ibrav = 0, nat = 4, ntyp = 3
/
ATOMIC_SPECIES
Tc 98.00 Tc.upf
P 30.97 P.upf
Br 79.90 Br.upf
ATOMIC_POSITIONS crystal
Tc 0.000 0.000 0.000
P 0.500 0.000 0.500
Br 0.000 0.500 0.500
Br 0.500 0.500 0.000
CELL_PARAMETERS angstrom
3.225 0.000 0.000
0.000 4.436 0.000
0.000 0.000 5.831

***

! AsPAu2 | Alexandria | PBE-GGA | optimized geometry; values from VASP
! Calculated volume (Å³ per atom): 17.9
! Size of the total moment (μB per formula unit): 0.0
! DFT formation energy (eV/atom): 0.43
! Space-group type: Fm-3m (225)
&SYSTEM
  ibrav = 0, nat = 4, ntyp = 3
/
ATOMIC_SPECIES
As 74.92 As.upf
P 30.97 P.upf
Au 196.97 Au.upf
ATOMIC_POSITIONS crystal
As 0.000 0.000 0.000
P 0.500 0.500 0.500
Au 0.250 0.250 0.250
Au 0.750 0.750 0.750
CELL_PARAMETERS angstrom
0.000 3.297 3.297
3.297 0.000 3.297
3.297 3.297 0.000

***

! MgGaAs2 | Alexandria | PBE-GGA | optimized geometry; values from VASP
! Calculated volume (Å³ per atom): 25.6
! Size of the total moment (μB per formula unit): 0.0
! DFT formation energy (eV/atom): -0.22
! Space-group type: I-42d (122)
&SYSTEM
  ibrav = 0, nat = 8, ntyp = 3
/
ATOMIC_SPECIES
Mg 24.30 Mg.upf
Ga 69.72 Ga.upf
As 74.92 As.upf
ATOMIC_POSITIONS crystal
Mg 0.000 0.000 0.000
Mg 0.750 0.250 0.500
Ga 0.250 0.750 0.500
Ga 0.500 0.500 0.000
As 0.148 0.625 0.023
As 0.375 0.398 0.523
As 0.602 0.125 0.977
As 0.875 0.852 0.477
CELL_PARAMETERS angstrom
-3.037 3.037 5.559
3.037 -3.037 5.559
3.037 3.037 -5.559